(1)
An optimized crystal structure of Hf3ReAg. Source: Alexandria, functional GGA-PBE.

Mass density in Mg/m³: 11.4
DFT formation energy in kJ/mol of formula units: 769.0
SG: Pm-3m
Offset from the most stable computed form in meV/atom: 926
Size of the total moment in μB per cell: 0.0

a b c (Å): 4.9415 4.9415 4.9415
angles (deg): 90.00 90.00 90.00
Positions (direct):
Hf 0.0000 0.0000 0.5000
Re 0.5000 0.5000 0.5000
Hf 0.0000 0.5000 0.0000
Hf 0.5000 0.0000 0.0000
Ag 0.0000 0.0000 0.0000

---

(2)
An optimized crystal structure of Na3TlIn2I6. Source: Alexandria, functional GGA-PBE.

E_form (uncorrected) in kcal/mol of atoms: -20.33
Mass density in Mg/m³: 4.5
SG: C2/m
Size of the total moment in μB per cell: 0.0

a b c (Å): 4.7647 9.7001 10.8075
angles (deg): 104.41 102.73 90.00
Positions (direct):
Na 0.5000 0.5000 0.0000
Tl 0.5000 0.0000 0.0000
Na 0.8338 0.1669 0.6675
I 0.3273 0.9292 0.6546
Na 0.1662 0.8331 0.3325
I 0.6727 0.0708 0.3454
I 0.9948 0.2652 0.9897
I 0.3385 0.4035 0.6770
In 0.8329 0.6664 0.6657
I 0.6615 0.5965 0.3230
In 0.1671 0.3336 0.3343
I 0.0052 0.7348 0.0103

---

(3)
An optimized crystal structure of CaInTc. Source: Alexandria, functional GGA-PBE.

Mass density in Mg/m³: 6.5
DFT formation energy in kJ/mol of formula units: 96.2
SG: I4mm
Offset from the most stable computed form in meV/atom: 68
Size of the total moment in μB per cell: 0.7

a b c (Å): 7.0920 7.0911 3.1056
angles (deg): 77.37 77.34 25.30
Each line ends with the local moment (μB).
Positions (direct):
Ca 0.0107 0.0107 0.9893  -0.02
In 0.3138 0.3138 0.6862  -0.01
Tc 0.6755 0.6755 0.3245  0.73

---

(4)
An optimized crystal structure of Sm2Er3Co2. Source: Alexandria, functional GGA-PBE.

Mass density in Mg/m³: 8.7
DFT formation energy in kJ/mol of formula units: -106.4
SG: C2/m
Size of the total moment in μB per cell: 0.0

a b c (Å): 3.6226 6.3042 8.9296
angles (deg): 115.21 90.00 106.70
Positions (direct):
Er 0.5000 0.0000 0.0000
Co 0.1763 0.3526 0.2423
Co 0.8237 0.6474 0.7577
Er 0.3806 0.7612 0.5745
Sm 0.1703 0.3406 0.8018
Er 0.6194 0.2388 0.4255
Sm 0.8297 0.6594 0.1982

---

> What is the formula in the third record?

CaInTc

---

> What is the mass density in the fourth record?

8.7 Mg/m³

---

> The highest size of the total moment belongs to which entry?

CaInTc

---

> The highest size of the total moment belongs to which entry?

CaInTc